[1]
The following is a DFT calculation (PBE) of an optimized crystal structure of RbBaSnPb.

Unit cell a=12.835 b=4.606 c=6.001 alpha=90.00 beta=117.81 gamma=90.00
Space group Cm (No. 8)
One atom of each set of equivalent atoms:
Rb1 0.000 0.000 0.000 (multiplicity 2)
Ba1 0.200 0.000 0.700 (multiplicity 2)
Sn1 0.442 0.000 0.442 (multiplicity 2)
Pb1 0.272 0.500 0.271 (multiplicity 2)

Output
- Total magnetization: 0.0 μB/f.u.
- Formation energy from the elements: -0.337 eV/atom

***

[2]
The following is a DFT calculation (PBE) of an optimized crystal structure of CsHoMnTe3.

Unit cell a=10.290 b=4.507 c=10.956 alpha=90.00 beta=112.12 gamma=90.00
Space group P2_1/m (No. 11)
One atom of each set of equivalent atoms:
Cs1 0.216 0.250 0.245 (multiplicity 2)
Ho1 0.332 0.750 0.863 (multiplicity 2)
Mn1 0.085 0.250 0.609 (multiplicity 2)
Te1 0.122 0.250 0.863 (multiplicity 2)
Te2 0.204 0.750 0.546 (multiplicity 2)
Te3 0.475 0.750 0.161 (multiplicity 2)

Output
- Total magnetization: 5.0 μB/f.u.
- Total energy: -4.9885 eV per atom

***

[3]
The following is a DFT calculation (PBE) of an optimized crystal structure of BaMgPt2.

Unit cell a=3.183 b=4.157 c=7.018 alpha=90.00 beta=90.00 gamma=90.00
Space group Pmm2 (No. 25)
One atom of each set of equivalent atoms:
Ba1 0.000 0.000 0.000 (multiplicity 1)
Mg1 0.500 0.500 0.392 (multiplicity 1)
Pt1 0.000 0.000 0.501 (multiplicity 1)
Pt2 0.500 0.500 0.755 (multiplicity 1)

Output
- Total magnetization: 0.0 μB/f.u.
- Formation energy from the elements: -0.295 eV/atom

***

Result set for V: 313.8, 470.7, 92.8 Å³ per cell, one per record in the order listed.
Result set for D(E_F): 1.82, 0.32, 1.80 states/eV/f.u., one per record in the order listed.